Entry 1:
## Al2In2Hg (GGA-PBE)

Data for Al2In2Hg after structural relaxation.

abc: 7.045 7.045 4.703
angles: 90.00 90.00 90.00
Fractional coordinates of all 10 atoms:
Al (0.134, 0.366, 0.000)
Al (0.366, 0.866, 0.000)
Al (0.634, 0.134, 0.000)
Al (0.866, 0.634, 0.000)
In (0.172, 0.672, 0.500)
In (0.328, 0.172, 0.500)
In (0.672, 0.828, 0.500)
In (0.828, 0.328, 0.500)
Hg (0.000, 0.000, 0.000)
Hg (0.500, 0.500, 0.000)

space-group type = No. 127
energy relative to the lowest polymorph listed for this composition = 0 meV/atom
E_form = 0.130 eV per atom
D(E_F) = 3.878 states/eV per cell
electronic total energy = -2.5230 eV/atom

Entry 2:
## AlInHg (GGA-PBE)

Data for AlInHg after structural relaxation.

abc: 6.392 3.361 6.562
angles: 90.00 93.77 90.00
Fractional coordinates of all 6 atoms:
Al (0.000, 0.000, 0.000)
Al (0.349, 0.500, 0.979)
In (0.314, 0.000, 0.367)
In (0.744, 0.500, 0.264)
Hg (0.029, 0.500, 0.641)
Hg (0.608, 0.000, 0.753)

space-group type = No. 6
E_form = 0.104 eV per atom
D(E_F) = 2.207 states/eV per cell
electronic total energy = -2.1565 eV/atom

Entry 3:
## AlInHg2 (GGA-PBE)

Data for AlInHg2 after structural relaxation.

abc: 10.773 10.773 10.773
angles: 156.55 156.55 33.40
Fractional coordinates of all 8 atoms:
Al (0.000, 0.000, 0.000)
Al (0.750, 0.250, 0.500)
In (0.250, 0.750, 0.500)
In (0.500, 0.500, 0.000)
Hg (0.112, 0.625, 0.987)
Hg (0.375, 0.362, 0.487)
Hg (0.638, 0.125, 0.013)
Hg (0.875, 0.888, 0.513)

space-group type = No. 122
energy relative to the lowest polymorph listed for this composition = 76 meV/atom
E_form = 0.150 eV per atom
D(E_F) = 3.328 states/eV per cell
electronic total energy = -1.6210 eV/atom

Entry 4:
## AlInHg (GGA-PBE)

Data for AlInHg after structural relaxation.

abc: 6.694 6.694 6.694
angles: 151.44 151.44 40.84
Fractional coordinates of all 3 atoms:
Al (0.000, 0.000, 0.000)
In (0.665, 0.665, 0.000)
Hg (0.353, 0.353, 0.000)

space-group type = No. 107
E_form = 0.137 eV per atom
D(E_F) = 0.994 states/eV per cell
electronic total energy = -2.1243 eV/atom

Entry 5:
## AlInHg (GGA-PBE)

Data for AlInHg after structural relaxation.

abc: 3.156 5.526 8.704
angles: 74.25 80.25 79.05
Fractional coordinates of all 6 atoms:
Al (0.000, 0.000, 0.000)
Al (0.452, 0.768, 0.258)
In (0.711, 0.211, 0.339)
In (0.885, 0.614, 0.575)
Hg (0.593, 0.083, 0.712)
Hg (0.870, 0.517, 0.967)

space-group type = No. 1
E_form = 0.102 eV per atom
D(E_F) = 2.326 states/eV per cell
electronic total energy = -2.1584 eV/atom

Entry 6:
## AlInHg (GGA-PBE)

Data for AlInHg after structural relaxation.

abc: 4.933 4.933 6.892
angles: 90.00 90.00 120.00
Fractional coordinates of all 6 atoms:
Al (0.333, 0.667, 0.250)
Al (0.667, 0.333, 0.750)
In (0.333, 0.667, 0.750)
In (0.667, 0.333, 0.250)
Hg (0.000, 0.000, 0.000)
Hg (0.000, 0.000, 0.500)

space-group type = No. 194
E_form = 0.219 eV per atom
D(E_F) = 2.657 states/eV per cell
electronic total energy = -2.0416 eV/atom